CdSiBr2 | Alexandria via LeMat-Bulk | PBE | relaxed; space group = Cmmm; total magnetic moment = 0.00 μB per cell; formation energy from raw total energies = 285 meV/atom; volume = 99.4 Å³ per cell; total energy = -8.54 eV per formula unit
1.0
-2.109 -4.722 0.440
1.201 -0.135 -5.048
3.351 -1.419 0.835
Cd Si Br
1 1 2
Cartesian
0.621 -3.070 0.638 Cd
2.276 -0.777 -2.106 Si
-0.454 -2.429 -2.304 Br
0.000 0.000 0.000 Br

=====

ZrHg2Sb | Alexandria via LeMat-Bulk | PBE | relaxed; space group = P2/m; total magnetic moment = 0.00 μB per cell; formation energy from raw total energies = -36 meV/atom; volume = 94.7 Å³ per cell; total energy = -13.42 eV per formula unit
1.0
-1.194 -0.599 5.455
-1.777 -2.603 -0.674
4.278 -2.947 0.613
Zr Hg Sb
1 2 1
Cartesian
1.279 -4.462 2.681 Zr
4.220 -2.949 0.600 Hg
1.308 -2.773 -0.018 Hg
0.029 -1.687 2.712 Sb

=====

NdScBi2 | Alexandria via LeMat-Bulk | PBE | relaxed; formation enthalpy at 0 K = -0.5465 eV/atom; space group = P4/mmm; total magnetic moment = 0.27 μB per cell; volume = 113.9 Å³ per cell; total energy = -21.05 eV per formula unit
1.0
3.720 0.000 0.000
0.000 3.720 0.000
0.000 0.000 8.231
Bi Nd Sc
2 1 1
Cartesian
0.000 0.000 6.355 Bi
0.000 0.000 1.876 Bi
1.860 1.860 4.115 Nd
1.860 1.860 0.000 Sc

=====

BaMg3Fe | Alexandria via LeMat-Bulk | PBE | relaxed; formation enthalpy at 0 K = 0.2425 eV/atom; space group = Pm-3m; total magnetic moment = 1.77 μB per cell; volume = 136.9 Å³ per cell; total energy = -13.96 eV per formula unit
1.0
-4.860 1.104 -1.314
0.800 -2.034 -4.667
-1.518 -4.605 1.747
Fe Mg Ba
1 3 1
Cartesian
0.000 0.000 0.000 Fe
-2.430 0.552 -0.657 Mg
0.400 -1.017 -2.334 Mg
-0.759 -2.303 0.873 Mg
-2.789 -2.768 -2.118 Ba

=====

> The highest volume belongs to which entry?

BaMg3Fe

=====

> Which value of total magnetic moment does entry 2 give?

0.00 μB per cell